1.
Density functional theory data (PBE) for BaInPb2 after structural relaxation.

Crystal system = orthorhombic
M_tot = 0.0 μB/cell
DFT total energy = -13.4 eV per formula unit

a b c (Å): 9.1284 8.8445 6.9216
angles (deg): 90.00 90.00 90.00
Last column: nearest neighbours and their distance in Å.
Space group Pnma (No. 62)
Symmetry-distinct sites (fractional):
Ba: 0.0307 0.2500 0.1214  3 In 3.62-3.80, 6 Pb 3.69-3.88
In: 0.0943 0.7500 0.3826  6 Pb 3.14-3.25
Pb: 0.1933 0.0545 0.6115  3 In 3.14-3.25, 1 Pb 3.46

2.
Density functional theory data (PBE) for Ba2In2Pb after structural relaxation.

Crystal system = tetragonal
Excess energy over the best structure of this formula in the dataset = 39.0 meV/atom
M_tot = 0.0 μB/cell
DFT total energy = -15.0 eV per formula unit

a b c (Å): 8.3008 8.3008 5.4775
angles (deg): 90.00 90.00 90.00
Last column: nearest neighbours and their distance in Å.
Space group P4/mbm (No. 127)
Symmetry-distinct sites (fractional):
Ba: 0.1785 0.3215 0.0000  6 In 3.57-3.75
In: 0.1260 0.6260 0.5000  1 In 2.96, 2 Pb 3.28
Pb: 0.0000 0.0000 0.5000  4 In 3.28

3.
Density functional theory data (PBE) for BaInPb2 after structural relaxation.

Crystal system = orthorhombic
M_tot = 0.0 μB/cell
DFT total energy = -13.1 eV per formula unit

a b c (Å): 4.0421 4.3901 7.6655
angles (deg): 90.00 90.00 90.00
Last column: nearest neighbours and their distance in Å.
Space group Pmmm (No. 47)
Symmetry-distinct sites (fractional):
Ba: 0.0000 0.0000 0.0000  8 Pb 3.75, 2 In 3.83, 2 Ba 4.04
In: 0.0000 0.0000 0.5000  8 Pb 3.37
Pb: 0.5000 0.5000 0.2955  1 Pb 3.13, 4 In 3.37

4.
Density functional theory data (PBE) for Ba2InPb2 after structural relaxation.

Crystal system = tetragonal
Excess energy over the best structure of this formula in the dataset = 485.6 meV/atom
M_tot = 0.0 μB/cell
DFT total energy = -14.1 eV per formula unit

a b c (Å): 5.9169 5.9169 13.3611
angles (deg): 90.00 90.00 90.00
Last column: nearest neighbours and their distance in Å.
Space group I4/mmm (No. 139)
Symmetry-distinct sites (fractional):
Ba: 0.0000 0.5000 0.2500  4 Pb 3.53
In: 0.0000 0.0000 0.0000  8 Pb 4.41, 8 Ba 4.46
Pb: 0.0000 0.0000 0.3946  1 Pb 2.82

5.
Density functional theory data (PBE) for Ba3In4Pb7 after structural relaxation.

Crystal system = monoclinic
M_tot = 0.0 μB/cell
DFT total energy = -47.1 eV per formula unit

a b c (Å): 19.1983 5.2919 11.9363
angles (deg): 90.00 127.60 90.00
Last column: nearest neighbours and their distance in Å.
Space group C2/m (No. 12)
Symmetry-distinct sites (fractional):
Ba: 0.0000 0.0000 0.0000  6 In 3.88-3.90, 6 Pb 3.93-4.03
Ba: 0.1926 0.5000 0.6914  9 Pb 3.72-4.01, 4 In 3.84
In: 0.1392 0.0000 0.8623  6 Pb 3.19-3.43
In: 0.1544 0.5000 0.2856  5 Pb 3.11-3.19
Pb: 0.0000 0.0000 0.5000  2 In 3.43, 6 Pb 3.51-3.54
Pb: 0.0014 0.5000 0.6983  3 In 3.11-3.39, 1 Pb 3.24
Pb: 0.1505 0.0000 0.4251  3 In 3.15-3.19, 3 Pb 3.51-3.53
Pb: 0.1632 0.5000 0.0340  4 In 3.11-3.20, 1 Pb 3.24

6.
Density functional theory data (PBE) for BaInPb after structural relaxation.

Crystal system = trigonal
M_tot = 0.0 μB/cell
DFT total energy = -9.7 eV per formula unit

a b c (Å): 5.0154 5.0154 5.1651
angles (deg): 90.00 90.00 120.00
Last column: nearest neighbours and their distance in Å.
Space group P3m1 (No. 156)
Symmetry-distinct sites (fractional):
Ba: 0.0000 0.0000 0.0000  3 In 3.60, 3 Pb 3.62
In: 0.6667 0.3333 0.4127  3 Pb 3.02
Pb: 0.3333 0.6667 0.5781  3 In 3.02

- Which of these has the highest DFT total energy?
  BaInPb

- Number 1 is which compound?
  BaInPb2

- The lowest DFT total energy belongs to which entry?
  Ba3In4Pb7

- Number 2 is which compound?
  Ba2In2Pb